Record 1
{
  "formula": "Pu2MnRu",
  "functional": "PBE",
  "state": "optimized geometry",
  "cell": [[-2.597, 1.547, 2.065], [-0.276, -0.865, 3.546], [3.390, 5.392, 3.469]],
  "species": ["Ru", "Mn", "Pu", "Pu"],
  "frac_coords": [[0.000, 0.000, 0.000], [0.500, 0.500, 0.500], [0.250, 0.250, 0.251], [0.750, 0.750, 0.749]],
  "n_ef_per_ev_atom": 2.81,
  "sg": "R-3m (166)",
  "ef_ev_per_atom": 0.2252,
  "total_magnetization_mub_per_fu": 7.027,
  "volume_a3_per_atom": 20.13
}



Record 2
{
  "formula": "Pu4MnRu3",
  "functional": "PBE",
  "state": "optimized geometry",
  "cell": [[-2.010, 0.921, -4.245], [-0.410, -4.697, -0.822], [-4.878, 1.920, 5.431]],
  "species": ["Ru", "Ru", "Ru", "Mn", "Pu", "Pu", "Pu", "Pu"],
  "frac_coords": [[0.000, 0.500, 0.000], [0.746, 0.246, 0.491], [0.254, 0.754, 0.509], [0.500, 0.000, 0.000], [0.375, 0.375, 0.750], [0.625, 0.625, 0.250], [0.125, 0.125, 0.249], [0.875, 0.875, 0.751]],
  "n_ef_per_ev_atom": 2.62,
  "sg": "C2/m (12)",
  "ef_ev_per_atom": -0.0850,
  "total_magnetization_mub_per_fu": 15.552,
  "volume_a3_per_atom": 19.31
}



Record 3
{
  "formula": "Pu4MnRu",
  "functional": "PBE",
  "state": "optimized geometry",
  "cell": [[-1.285, -5.974, 2.175], [2.250, -2.503, -5.544], [5.771, 3.877, 4.386]],
  "species": ["Pu", "Pu", "Pu", "Pu", "Pu", "Pu", "Pu", "Pu", "Mn", "Mn", "Ru", "Ru"],
  "frac_coords": [[0.907, 0.921, 0.328], [0.156, 0.157, 0.828], [0.671, 0.670, 0.828], [0.420, 0.406, 0.328], [0.330, 0.844, 0.172], [0.079, 0.580, 0.672], [0.594, 0.093, 0.672], [0.843, 0.329, 0.172], [0.000, 0.000, 0.000], [0.750, 0.250, 0.500], [0.500, 0.500, 0.000], [0.250, 0.750, 0.500]],
  "n_ef_per_ev_atom": 3.85,
  "sg": "I4_1/a (88)",
  "ef_ev_per_atom": 0.1604,
  "total_magnetization_mub_per_fu": 20.350,
  "volume_a3_per_atom": 23.92
}